First-principles (PBE-GGA) data for a geometry-optimized PBr structure, as listed in Alexandria.

Cell and atoms, written as POSCAR:
```
PBr
1.0
-4.998 14.514 -10.172
-6.722 -1.666 0.926
-0.095 1.985 2.879
P Br
6 6
Direct
0.237 0.412 0.133
0.000 0.910 0.648
0.263 0.588 0.633
0.500 0.090 0.148
0.737 0.588 0.633
0.763 0.412 0.133
0.500 0.382 0.864
0.596 0.943 0.862
0.404 0.943 0.862
0.000 0.618 0.364
0.904 0.057 0.362
0.096 0.057 0.362
```

Values from the calculation:
* energy above the most stable polymorph in this dataset: 0.165 eV/atom
* size of the total moment: 0.0 μB/f.u.
* uncorrected formation energy: 35 meV per atom

First-principles (PBE-GGA) data for a geometry-optimized NaHg8Au2 structure, as listed in Alexandria.

Cell and atoms, written as POSCAR:
```
NaHg8Au2
1.0
-2.148 0.383 5.223
-1.642 -6.695 -2.277
7.513 -2.110 -0.185
Hg Au Na
8 2 1
Direct
0.148 0.326 0.029
0.281 0.763 0.766
0.503 0.797 0.196
0.195 0.037 0.334
0.805 0.963 0.666
0.497 0.203 0.804
0.852 0.674 0.971
0.719 0.237 0.234
0.034 0.361 0.631
0.966 0.639 0.369
0.500 0.500 0.500
```

Values from the calculation:
* size of the total moment: 0.0 μB/f.u.
* calculated formation energy: -0.0453 eV/atom

First-principles (PBE-GGA) data for a geometry-optimized YErRuPt structure, as listed in Alexandria.

Cell and atoms, written as POSCAR:
```
YErRuPt
1.0
-1.631 -1.635 -4.270
3.018 -0.325 -3.788
1.396 -4.356 -1.625
Pt Er Y Ru
1 1 1 1
Direct
0.750 0.750 0.750
0.000 0.000 0.000
0.500 0.500 0.500
0.250 0.250 0.250
```

Values from the calculation:
* energy above the most stable polymorph in this dataset: 0.047 eV/atom
* size of the total moment: 0.0 μB/f.u.
* calculated formation energy: -0.8007 eV/atom

First-principles (PBE-GGA) data for a geometry-optimized MgUGaOs structure, as listed in Alexandria.

Cell and atoms, written as POSCAR:
```
MgUGaOs
1.0
-4.544 -0.902 -0.904
-1.707 -4.358 0.606
-2.980 -0.895 3.549
U Mg Ga Os
1 1 1 1
Direct
0.000 0.000 0.000
0.500 0.500 0.500
0.250 0.250 0.250
0.750 0.750 0.750
```

Values from the calculation:
* size of the total moment: 1.4 μB/f.u.
* calculated formation energy: 0.0744 eV/atom

Number 1: volume 37.52 Å³ per atom. Number 2: volume 25.62 Å³ per atom. Number 3: volume 20.22 Å³ per atom. Number 4: volume 18.59 Å³ per atom.